# 1
Material: TaAsP
Method: DFT, PBE-GGA
State: optimized geometry

abc: 4.8206 4.8206 4.8206
angles: 139.32 139.32 58.89
Element x y z (fractional)
Ta: 0.0000 0.0000 0.0000
As: 0.6725 0.6725 0.0000
P: 0.3478 0.3478 0.0000

Computed properties:
Calculated volume (Å³ per atom): 15.7
Fermi-level density of states (states/eV/cell): 1.0
Crystal system: tetragonal
E_form (eV/f.u.): -1.02



# 2
Material: MnCu2Au5
Method: DFT, PBE-GGA
State: optimized geometry

abc: 5.7191 11.4400 3.9943
angles: 90.00 90.00 90.00
Element x y z (fractional)
Mn: 0.0000 0.0000 0.0000
Mn: 0.5000 0.5000 0.0000
Cu: 0.2307 0.3733 0.5000
Cu: 0.2693 0.8733 0.5000
Cu: 0.7307 0.1267 0.5000
Cu: 0.7693 0.6267 0.5000
Au: 0.0000 0.5000 0.0000
Au: 0.0271 0.7568 0.0000
Au: 0.2271 0.1168 0.5000
Au: 0.2729 0.6168 0.5000
Au: 0.4729 0.2568 0.0000
Au: 0.5000 0.0000 0.0000
Au: 0.5271 0.7432 0.0000
Au: 0.7271 0.3832 0.5000
Au: 0.7729 0.8832 0.5000
Au: 0.9729 0.2432 0.0000

Computed properties:
Calculated volume (Å³ per atom): 16.3
Fermi-level density of states (states/eV/cell): 5.2
Crystal system: orthorhombic
E_form (eV/f.u.): -0.23



# 3
Material: SrCu2Pb
Method: DFT, PBE-GGA
State: optimized geometry

abc: 4.4052 4.4052 6.3715
angles: 110.38 110.38 60.08
Element x y z (fractional)
Sr: 0.0000 0.0000 0.0000
Cu: 0.2075 0.2075 0.6220
Cu: 0.5402 0.5402 0.6204
Pb: 0.8040 0.8040 0.4120

Computed properties:
Calculated volume (Å³ per atom): 24.5
Fermi-level density of states (states/eV/cell): 3.1
Crystal system: monoclinic
E_form (eV/f.u.): -0.40



# 4
Material: Mg3ZrAu
Method: DFT, PBE-GGA
State: optimized geometry

abc: 5.5933 5.5933 5.5933
angles: 90.00 90.00 90.00
Element x y z (fractional)
Mg: 0.0000 0.0000 0.5000
Mg: 0.0000 0.5000 0.0000
Mg: 0.5000 0.0000 0.0000
Zr: 0.0000 0.0000 0.0000
Au: 0.5000 0.5000 0.5000

Computed properties:
Calculated volume (Å³ per atom): 35.0
Fermi-level density of states (states/eV/cell): 5.4
Crystal system: cubic
E_form (eV/f.u.): 6.30



# 5
Material: Er2SnO
Method: DFT, PBE-GGA
State: optimized geometry

abc: 4.4629 4.4629 8.6838
angles: 90.00 90.00 90.00
Element x y z (fractional)
Er: 0.2500 0.2500 0.1674
Er: 0.2500 0.7500 0.5000
Er: 0.7500 0.2500 0.5000
Er: 0.7500 0.7500 0.8326
Sn: 0.2500 0.2500 0.8000
Sn: 0.7500 0.7500 0.2000
O: 0.2500 0.2500 0.4280
O: 0.7500 0.7500 0.5720

Computed properties:
Calculated volume (Å³ per atom): 21.6
Fermi-level density of states (states/eV/cell): 2.7
Formation energy (no corrections) (eV per atom): -1.88
Crystal system: tetragonal



# 6
Material: CoSiC2N
Method: DFT, PBE-GGA
State: optimized geometry

abc: 3.5032 3.5032 4.6986
angles: 90.00 90.00 90.00
Element x y z (fractional)
Co: 0.0000 0.0000 0.0000
Si: 0.0000 0.0000 0.5000
C: 0.0000 0.5000 0.5000
C: 0.5000 0.0000 0.5000
N: 0.5000 0.5000 0.0000

Computed properties:
Calculated volume (Å³ per atom): 11.5
Fermi-level density of states (states/eV/cell): 6.9
Formation energy (no corrections) (eV per atom): 2.48
Crystal system: tetragonal



# 7
Material: Hf2MnB2
Method: DFT, PBE-GGA
State: optimized geometry

abc: 4.8308 4.8308 4.8308
angles: 140.52 118.26 75.80
Element x y z (fractional)
Hf: 0.2174 0.2174 0.0000
Hf: 0.7826 0.7826 0.0000
Mn: 0.5000 0.0000 0.5000
B: 0.1859 0.5000 0.6859
B: 0.8141 0.5000 0.3141

Computed properties:
Calculated volume (Å³ per atom): 12.3
Fermi-level density of states (states/eV/cell): 2.6
Crystal system: orthorhombic
E_form (eV/f.u.): -2.96



# 8
Material: Al2Tl2Sb
Method: DFT, PBE-GGA
State: optimized geometry

abc: 7.2957 7.2957 4.9949
angles: 90.00 90.00 90.00
Element x y z (fractional)
Al: 0.1287 0.3713 0.0000
Al: 0.3713 0.8713 0.0000
Al: 0.6287 0.1287 0.0000
Al: 0.8713 0.6287 0.0000
Tl: 0.1760 0.6760 0.5000
Tl: 0.3240 0.1760 0.5000
Tl: 0.6760 0.8240 0.5000
Tl: 0.8240 0.3240 0.5000
Sb: 0.0000 0.0000 0.0000
Sb: 0.5000 0.5000 0.0000

Computed properties:
Calculated volume (Å³ per atom): 26.6
Fermi-level density of states (states/eV/cell): 5.5
Formation energy (no corrections) (eV per atom): 0.16
Crystal system: tetragonal



# 9
Material: Be3VW
Method: DFT, PBE-GGA
State: optimized geometry

abc: 3.9210 3.9210 3.9210
angles: 90.00 90.00 90.00
Element x y z (fractional)
Be: 0.0000 0.0000 0.5000
Be: 0.0000 0.5000 0.0000
Be: 0.5000 0.0000 0.0000
V: 0.0000 0.0000 0.0000
W: 0.5000 0.5000 0.5000

Computed properties:
Calculated volume (Å³ per atom): 12.1
Fermi-level density of states (states/eV/cell): 2.5
Crystal system: cubic
E_form (eV/f.u.): 6.85



# 10
Material: BeTc2BiS
Method: DFT, PBE-GGA
State: optimized geometry

abc: 4.5832 4.5832 3.7792
angles: 90.00 90.00 90.00
Element x y z (fractional)
Be: 0.0000 0.0000 0.0000
Tc: 0.0000 0.5000 0.0000
Tc: 0.5000 0.0000 0.0000
Bi: 0.5000 0.5000 0.5000
S: 0.0000 0.0000 0.5000

Computed properties:
Calculated volume (Å³ per atom): 15.9
Fermi-level density of states (states/eV/cell): 4.6
Formation energy (no corrections) (eV per atom): 0.75
Crystal system: tetragonal



# 11
Material: Na2LiSb4Pd3
Method: DFT, PBE-GGA
State: optimized geometry

abc: 4.6671 4.6671 10.8160
angles: 90.00 90.00 90.00
Element x y z (fractional)
Na: 0.0000 0.5000 0.2299
Na: 0.5000 0.0000 0.7701
Li: 0.5000 0.5000 0.0000
Sb: 0.0000 0.0000 0.5000
Sb: 0.0000 0.5000 0.8713
Sb: 0.5000 0.0000 0.1287
Sb: 0.5000 0.5000 0.5000
Pd: 0.0000 0.0000 0.0000
Pd: 0.0000 0.5000 0.6282
Pd: 0.5000 0.0000 0.3718

Computed properties:
Calculated volume (Å³ per atom): 23.6
Fermi-level density of states (states/eV/cell): 6.4
Formation energy (no corrections) (eV per atom): -0.40
Crystal system: tetragonal



# 12
Material: AlInNi
Method: DFT, PBE-GGA
State: optimized geometry

abc: 5.9093 5.9093 5.9093
angles: 151.01 150.12 42.12
Element x y z (fractional)
Al: 0.0000 0.0000 0.0000
In: 0.2825 0.2825 0.0000
Ni: 0.6123 0.6123 0.0000

Computed properties:
Calculated volume (Å³ per atom): 16.6
Fermi-level density of states (states/eV/cell): 1.2
Crystal system: orthorhombic
E_form (eV/f.u.): -0.38